[1]
Computed, not measured: crystalline In2SnPb8 at its relaxed geometry at the GGA-PBE level of DFT.

Geometry as CIF:
```
data_In2SnPb8
_chemical_formula_sum 'In2 Sn1 Pb8'
_symmetry_space_group_name_H-M 'P 1'
_symmetry_Int_Tables_number 1
_symmetry_space_group_name_Hall 'P 1'
_cell_length_a 5.852
_cell_length_b 8.554
_cell_length_c 8.554
_cell_angle_alpha 61.78
_cell_angle_beta 77.97
_cell_angle_gamma 77.97
loop_
_atom_site_label
_atom_site_type_symbol
_atom_site_fract_x
_atom_site_fract_y
_atom_site_fract_z
Pb1 Pb 0.212 0.372 0.769
Pb2 Pb 0.788 0.628 0.231
Pb3 Pb 0.335 0.364 0.364
In1 In 0.506 0.878 0.878
Sn1 Sn 0.000 0.000 0.000
Pb4 Pb 0.212 0.769 0.372
Pb5 Pb 0.788 0.231 0.628
In2 In 0.494 0.122 0.122
Pb6 Pb 0.936 0.230 0.230
Pb7 Pb 0.064 0.770 0.770
Pb8 Pb 0.665 0.636 0.636
```

## Properties
* final energy: -37.9 eV for the cell shown
* total magnetization: 0.000 μB/cell
* ΔE to the lowest computed polymorph: 106.8 kJ/mol of formula units


[2]
Computed, not measured: crystalline In6Sn2Pb3 at its relaxed geometry at the GGA-PBE level of DFT.

Geometry as CIF:
```
data_In6Sn2Pb3
_chemical_formula_sum 'In6 Sn2 Pb3'
_symmetry_space_group_name_H-M 'P 1'
_symmetry_Int_Tables_number 1
_symmetry_space_group_name_Hall 'P 1'
_cell_length_a 3.420
_cell_length_b 3.420
_cell_length_c 31.235
_cell_angle_alpha 86.86
_cell_angle_beta 86.86
_cell_angle_gamma 60.00
loop_
_atom_site_label
_atom_site_type_symbol
_atom_site_fract_x
_atom_site_fract_y
_atom_site_fract_z
In1 In 0.818 0.818 0.545
Pb1 Pb 0.729 0.729 0.814
In2 In 0.907 0.907 0.279
In3 In 0.093 0.093 0.721
In4 In 0.364 0.364 0.907
Pb2 Pb 0.000 0.000 0.000
In5 In 0.182 0.182 0.455
Sn1 Sn 0.456 0.456 0.633
Pb3 Pb 0.271 0.271 0.186
In6 In 0.636 0.636 0.093
Sn2 Sn 0.544 0.544 0.367
```

## Properties
* final energy: -35.3 eV for the cell shown
* total magnetization: 0.000 μB/cell


> Which formula does entry 2 have?

In6Sn2Pb3